Record 1
4
Lattice="3.237 0.000 0.000 0.000 3.237 0.000 0.000 0.000 7.417" Properties=species:S:1:pos:R:3 comment="SrTcAs2 (PBE-GGA, optimized geometry)" total_energy_ev_per_atom=-5.6424 spacegroup="P4/mmm (123)" total_magnetization_mub_per_fu=0.00 e_form_ev_per_atom=-0.3057 pbc="T T T"
Sr 0.000 0.000 0.000
Tc 0.000 0.000 3.709
As 1.618 1.618 2.258
As 1.618 1.618 5.159

***

Record 2
16
Lattice="5.603 0.000 0.000 0.000 9.366 0.000 -1.589 0.000 4.396" Properties=species:S:1:pos:R:3 comment="SnHPd2 (PBE-GGA, optimized geometry)" total_energy_ev_per_atom=-4.7620 spacegroup="C2/c (15)" total_magnetization_mub_per_fu=0.00 pbc="T T T"
Sn -0.397 1.491 1.099
Sn -1.192 7.875 3.297
Sn 1.610 3.192 3.297
Sn 2.404 6.174 1.099
H -1.192 4.586 3.297
H -0.397 4.780 1.099
H 2.404 0.097 1.099
H 1.610 9.269 3.297
Pd 1.067 3.758 0.528
Pd 0.272 5.608 2.726
Pd 0.146 0.925 3.868
Pd 0.940 8.441 1.670
Pd 3.074 0.925 2.726
Pd 3.868 8.441 0.528
Pd 3.742 3.758 1.670
Pd 2.947 5.608 3.868

***

Copy entry 2 word for word.
16
Lattice="5.603 0.000 0.000 0.000 9.366 0.000 -1.589 0.000 4.396" Properties=species:S:1:pos:R:3 comment="SnHPd2 (PBE-GGA, optimized geometry)" total_energy_ev_per_atom=-4.7620 spacegroup="C2/c (15)" total_magnetization_mub_per_fu=0.00 pbc="T T T"
Sn -0.397 1.491 1.099
Sn -1.192 7.875 3.297
Sn 1.610 3.192 3.297
Sn 2.404 6.174 1.099
H -1.192 4.586 3.297
H -0.397 4.780 1.099
H 2.404 0.097 1.099
H 1.610 9.269 3.297
Pd 1.067 3.758 0.528
Pd 0.272 5.608 2.726
Pd 0.146 0.925 3.868
Pd 0.940 8.441 1.670
Pd 3.074 0.925 2.726
Pd 3.868 8.441 0.528
Pd 3.742 3.758 1.670
Pd 2.947 5.608 3.868